1.
A plane-wave DFT calculation with GGA-PBE was carried out for a relaxed structure of TiCrPb.

## Properties
Magnetization   0.244 μB/atom
ΔH_f (0 K)   162 meV/atom
Space-group type   I4/mmm, No. 139

Unit cell a=13.231 b=4.135 c=4.139 alpha=90.00 beta=90.00 gamma=90.00
Site moments in Bohr magnetons follow the coordinates.
Fractional positions:
Pb1 0.652 0.500 0.500  -0.02
Pb2 0.848 0.000 0.000  -0.02
Pb3 0.348 0.500 0.500  -0.02
Pb4 0.152 0.000 0.000  -0.02
Cr1 0.000 0.000 0.500  0.95
Cr2 0.500 0.500 0.000  0.95
Cr3 0.500 0.000 0.500  0.95
Cr4 0.000 0.500 0.000  0.95
Ti1 0.884 0.500 0.500  -0.21
Ti2 0.116 0.500 0.500  -0.21
Ti3 0.384 0.000 0.000  -0.21
Ti4 0.616 0.000 0.000  -0.21

---

2.
A plane-wave DFT calculation with GGA-PBE was carried out for a relaxed structure of Y2ScRe.

## Properties
Magnetization   0.000 μB/atom
ΔH_f (0 K)   305 meV/atom
Space-group type   P2/m, No. 10

Unit cell a=4.594 b=3.345 c=6.434 alpha=73.44 beta=90.00 gamma=90.00
Fractional positions:
Y1 0.000 0.424 0.475
Y2 0.000 0.076 0.025
Re1 0.500 0.250 0.250
Sc1 0.500 0.750 0.750

---

3.
A plane-wave DFT calculation with GGA-PBE was carried out for a relaxed structure of ZrRh.

## Properties
Magnetization   0.000 μB/atom
ΔH_f (0 K)   -188 meV/atom
Space-group type   P-3m1, No. 164

Unit cell a=3.456 b=3.456 c=8.041 alpha=90.00 beta=90.00 gamma=120.00
Fractional positions:
Rh1 0.000 0.000 0.007
Rh2 0.333 0.667 0.243
Zr1 0.333 0.667 0.806
Zr2 0.000 0.000 0.444

---

4.
A plane-wave DFT calculation with GGA-PBE was carried out for a relaxed structure of MnTl2Mo.

## Properties
Magnetization   0.000 μB/atom
ΔH_f (0 K)   1075 meV/atom
Space-group type   Fm-3m, No. 225

Unit cell a=4.672 b=4.672 c=4.672 alpha=60.00 beta=60.00 gamma=60.00
Fractional positions:
Tl1 0.250 0.250 0.250
Tl2 0.750 0.750 0.750
Mn1 0.000 0.000 0.000
Mo1 0.500 0.500 0.500

---

5.
A plane-wave DFT calculation with GGA-PBE was carried out for a relaxed structure of Sm3TiAg3S8.

## Properties
Magnetization   0.000 μB/atom
Electronic total energy   -5.463 eV/atom
Space-group type   C2/m, No. 12

Unit cell a=7.987 b=7.985 c=7.806 alpha=121.03 beta=90.00 gamma=120.00
Fractional positions:
Ti1 0.000 0.000 0.500
Ag1 0.000 0.500 0.000
Ag2 0.000 0.000 0.000
Ag3 0.500 0.500 0.000
S1 0.775 0.551 0.276
S2 0.224 0.999 0.276
S3 0.225 0.449 0.724
S4 0.250 0.500 0.251
S5 0.776 0.001 0.724
S6 0.750 0.500 0.749
S7 0.775 0.999 0.276
S8 0.225 0.001 0.724
Sm1 0.500 0.000 0.500
Sm2 0.500 0.500 0.500
Sm3 0.000 0.500 0.500

---

6.
A plane-wave DFT calculation with GGA-PBE was carried out for a relaxed structure of Cs2NdHF6.

## Properties
Magnetization   0.015 μB/atom
Electronic total energy   -5.087 eV/atom
Space-group type   Fmmm, No. 69

Unit cell a=6.373 b=6.379 c=7.478 alpha=54.26 beta=54.28 gamma=68.32
Fractional positions:
F1 0.213 0.213 0.000
F2 0.663 0.337 0.000
F3 0.787 0.787 0.000
F4 0.212 0.212 0.575
F5 0.337 0.663 0.000
F6 0.788 0.788 0.425
Cs1 0.250 0.750 0.501
Cs2 0.750 0.250 0.499
Nd1 0.000 0.000 0.000
H1 0.500 0.500 0.000